Run one
Density functional theory data (GGA+U) for a relaxed TlNiF3 crystal.

Properties
Density = 6.39 g/cm3
Volume = 16.6 Å³ per atom
Size of the total moment = 2.000 μB per formula unit

Cell and atoms, written as CIF:
```
data_TlNiF3
_chemical_formula_sum 'Tl8 Ni8 F24'
_space_group_name_H-M_alt 'C 1 2/c 1'
_space_group_IT_number 15
_space_group_name_Hall '-C 2yc'
_cell_length_a 10.453
_cell_length_b 12.258
_cell_length_c 5.237
_cell_angle_alpha 90.00
_cell_angle_beta 97.23
_cell_angle_gamma 90.00
loop_
_atom_site_label
_atom_site_type_symbol
_atom_site_fract_x
_atom_site_fract_y
_atom_site_fract_z
Tl1 Tl 0.126 0.127 0.038
Ni1 Ni 0.000 0.313 0.250
Ni2 Ni 0.000 0.433 0.750
F1 F 0.098 0.318 0.590
F2 F 0.100 0.438 0.108
F3 F 0.116 0.065 0.593
```

Run two
Density functional theory data (GGA+U) for a relaxed TlNiF3 crystal.

Properties
Density = 7.45 g/cm3
Volume = 14.3 Å³ per atom
Size of the total moment = 2.000 μB per formula unit

Cell and atoms, written as CIF:
```
data_TlNiF3
_chemical_formula_sum 'Tl1 Ni1 F3'
_space_group_name_H-M_alt 'P m -3 m'
_space_group_IT_number 221
_space_group_name_Hall '-P 4 2 3'
_cell_length_a 4.147
_cell_length_b 4.147
_cell_length_c 4.147
_cell_angle_alpha 90.00
_cell_angle_beta 90.00
_cell_angle_gamma 90.00
loop_
_atom_site_label
_atom_site_type_symbol
_atom_site_fract_x
_atom_site_fract_y
_atom_site_fract_z
Tl1 Tl 0.000 0.000 0.000
Ni1 Ni 0.500 0.500 0.500
F1 F 0.000 0.500 0.500
```

Stability summary - winner: run two; margin: 0.157 eV/atom.